# Na2Sc2GaSiPd2 | the Open Quantum Materials Database | PBE | optimized geometry
# Final energy ... -4.6513 eV per atom
# Magnetic moment ... 0.00 μB/f.u.
# Crystal system ... tetragonal
data_Na2Sc2GaSiPd2
_chemical_formula_sum 'Na2 Sc2 Ga1 Si1 Pd2'
_space_group_name_H-M_alt 'P 1'
_space_group_IT_number 1
_space_group_name_Hall 'P 1'
_cell_length_a 4.585
_cell_length_b 4.585
_cell_length_c 6.551
_cell_angle_alpha 90.00
_cell_angle_beta 90.00
_cell_angle_gamma 90.00
loop_
_atom_site_label
_atom_site_fract_x
_atom_site_fract_y
_atom_site_fract_z
Na1 0.000 0.500 0.248
Na2 0.500 0.000 0.752
Sc1 0.000 0.000 0.000
Sc2 0.500 0.500 0.500
Ga1 0.000 0.000 0.500
Si1 0.500 0.500 0.000
Pd1 0.000 0.500 0.759
Pd2 0.500 0.000 0.241

=====

# NaGaSnPd | the Open Quantum Materials Database | PBE | optimized geometry
# Offset from the most stable computed form ... 0.472 eV per formula unit
# Crystal system ... cubic
data_NaGaSnPd
_chemical_formula_sum 'Na4 Ga4 Sn4 Pd4'
_space_group_name_H-M_alt 'P 1'
_space_group_IT_number 1
_space_group_name_Hall 'P 1'
_cell_length_a 6.796
_cell_length_b 6.796
_cell_length_c 6.796
_cell_angle_alpha 90.00
_cell_angle_beta 90.00
_cell_angle_gamma 90.00
loop_
_atom_site_label
_atom_site_fract_x
_atom_site_fract_y
_atom_site_fract_z
Na1 0.000 0.000 0.000
Na2 0.000 0.500 0.500
Na3 0.500 0.000 0.500
Na4 0.500 0.500 0.000
Ga1 0.000 0.000 0.500
Ga2 0.000 0.500 0.000
Ga3 0.500 0.000 0.000
Ga4 0.500 0.500 0.500
Sn1 0.250 0.250 0.750
Sn2 0.250 0.750 0.250
Sn3 0.750 0.250 0.250
Sn4 0.750 0.750 0.750
Pd1 0.250 0.250 0.250
Pd2 0.250 0.750 0.750
Pd3 0.750 0.250 0.750
Pd4 0.750 0.750 0.250

=====

# NaGaSnPd | the Open Quantum Materials Database | PBE | optimized geometry
# Offset from the most stable computed form ... 0.000 eV per formula unit
# Crystal system ... cubic
data_NaGaSnPd
_chemical_formula_sum 'Na4 Ga4 Sn4 Pd4'
_space_group_name_H-M_alt 'P 1'
_space_group_IT_number 1
_space_group_name_Hall 'P 1'
_cell_length_a 6.733
_cell_length_b 6.733
_cell_length_c 6.733
_cell_angle_alpha 90.00
_cell_angle_beta 90.00
_cell_angle_gamma 90.00
loop_
_atom_site_label
_atom_site_fract_x
_atom_site_fract_y
_atom_site_fract_z
Na1 0.000 0.000 0.000
Na2 0.000 0.500 0.500
Na3 0.500 0.000 0.500
Na4 0.500 0.500 0.000
Ga1 0.250 0.250 0.250
Ga2 0.250 0.750 0.750
Ga3 0.750 0.250 0.750
Ga4 0.750 0.750 0.250
Sn1 0.250 0.250 0.750
Sn2 0.250 0.750 0.250
Sn3 0.750 0.250 0.250
Sn4 0.750 0.750 0.750
Pd1 0.000 0.000 0.500
Pd2 0.000 0.500 0.000
Pd3 0.500 0.000 0.000
Pd4 0.500 0.500 0.500

=====

# NaGaSnPd | the Open Quantum Materials Database | PBE | optimized geometry
# Offset from the most stable computed form ... 0.185 eV per formula unit
# Crystal system ... cubic
data_NaGaSnPd
_chemical_formula_sum 'Na4 Ga4 Sn4 Pd4'
_space_group_name_H-M_alt 'P 1'
_space_group_IT_number 1
_space_group_name_Hall 'P 1'
_cell_length_a 6.820
_cell_length_b 6.820
_cell_length_c 6.820
_cell_angle_alpha 90.00
_cell_angle_beta 90.00
_cell_angle_gamma 90.00
loop_
_atom_site_label
_atom_site_fract_x
_atom_site_fract_y
_atom_site_fract_z
Na1 0.000 0.000 0.000
Na2 0.000 0.500 0.500
Na3 0.500 0.000 0.500
Na4 0.500 0.500 0.000
Ga1 0.250 0.250 0.750
Ga2 0.250 0.750 0.250
Ga3 0.750 0.250 0.250
Ga4 0.750 0.750 0.750
Sn1 0.000 0.000 0.500
Sn2 0.000 0.500 0.000
Sn3 0.500 0.000 0.000
Sn4 0.500 0.500 0.500
Pd1 0.250 0.250 0.250
Pd2 0.250 0.750 0.750
Pd3 0.750 0.250 0.750
Pd4 0.750 0.750 0.250